# 1
This record from the Alexandria database describes a relaxed Li2TcSe crystal. The functional is PBE.

Calculated values
For the mass density, the calculation gives 5.30 g/cm³. The crystal system is tetragonal. For the uncorrected formation energy, the calculation gives -0.196 eV per atom.

Structure (POSCAR):
```
Li2TcSe
1.0
3.2324 0.0000 0.0000
0.0000 3.2324 0.0000
0.0000 0.0000 5.7185
Li Tc Se
2 1 1
Direct
0.0000 0.0000 0.0000 Li
0.5000 0.5000 0.2552 Li
0.5000 0.5000 0.7355 Tc
0.0000 0.0000 0.5372 Se
```

# 2
This record from the Alexandria database describes a relaxed Al2ZnNi crystal. The functional is PBE.

Calculated values
For the mass density, the calculation gives 5.28 g/cm³. The crystal system is tetragonal. As for the energy of formation: -20 kJ/mol of atoms.

Structure (POSCAR):
```
Al2ZnNi
1.0
3.2759 0.0000 0.0000
0.0000 3.2759 0.0000
0.0000 0.0000 5.2142
Al Zn Ni
2 1 1
Direct
0.0000 0.0000 0.0000 Al
0.5000 0.5000 0.2833 Al
0.5000 0.5000 0.7566 Zn
0.0000 0.0000 0.4941 Ni
```

# 3
This record from the Alexandria database describes a relaxed LiCa2TlBr6 crystal. The functional is PBE.

Calculated values
For the mass density, the calculation gives 3.88 g/cm³. The crystal system is trigonal. For the uncorrected formation energy, the calculation gives -1.669 eV per atom.

Structure (POSCAR):
```
LiCa2TlBr6
1.0
3.7619 2.1719 6.7263
-3.7619 2.1719 6.7263
0.0000 -4.3438 6.7263
Li Ca Tl Br
1 2 1 6
Direct
0.0000 0.0000 0.0000 Li
0.3250 0.3250 0.3250 Ca
0.8119 0.8119 0.8119 Ca
0.5278 0.5278 0.5278 Tl
0.0792 0.4109 0.7288 Br
0.1634 0.9742 0.6008 Br
0.4109 0.7288 0.0792 Br
0.6008 0.1634 0.9742 Br
0.7288 0.0792 0.4109 Br
0.9742 0.6008 0.1634 Br
```

# 4
This record from the Alexandria database describes a relaxed Ce2RhS crystal. The functional is PBE.

Calculated values
Its energy relative to the lowest polymorph listed for this composition is 0.0945 eV/atom. For the mass density, the calculation gives 7.16 g/cm³. The crystal system is trigonal. For the uncorrected formation energy, the calculation gives -1.166 eV per atom.

Structure (POSCAR):
```
Ce2RhS
1.0
3.8974 0.0000 0.0000
-1.9487 3.3753 0.0000
0.0000 0.0000 21.9508
Ce Rh S
6 3 3
Direct
0.0000 0.0000 0.0000 Ce
0.0000 0.0000 0.1764 Ce
0.3333 0.6667 0.6667 Ce
0.3333 0.6667 0.8431 Ce
0.6667 0.3333 0.3333 Ce
0.6667 0.3333 0.5097 Ce
0.0000 0.0000 0.5907 Rh
0.3333 0.6667 0.2574 Rh
0.6667 0.3333 0.9241 Rh
0.0000 0.0000 0.4207 S
0.3333 0.6667 0.0874 S
0.6667 0.3333 0.7540 S
```

# 5
This record from the Alexandria database describes a relaxed Pu8Ge2P crystal. The functional is PBE.

Calculated values
For the mass density, the calculation gives 15.28 g/cm³. The crystal system is monoclinic. As for the energy of formation: -27 kJ/mol of atoms.

Structure (POSCAR):
```
Pu8Ge2P
1.0
7.5295 -2.4046 0.0000
7.5295 2.4046 0.0000
-3.0347 0.0000 6.3891
Pu Ge P
8 2 1
Direct
0.0092 0.0092 0.2356 Pu
0.1464 0.1464 0.6877 Pu
0.3409 0.3409 0.6379 Pu
0.3958 0.3958 0.0424 Pu
0.6042 0.6042 0.9576 Pu
0.6591 0.6591 0.3621 Pu
0.8536 0.8536 0.3123 Pu
0.9908 0.9908 0.7644 Pu
0.2105 0.2105 0.1697 Ge
0.7895 0.7895 0.8303 Ge
0.5000 0.5000 0.5000 P
```

# 6
This record from the Alexandria database describes a relaxed BaSi2Br crystal. The functional is PBE.

Calculated values
Its energy relative to the lowest polymorph listed for this composition is 0.1897 eV/atom. For the mass density, the calculation gives 3.29 g/cm³. The crystal system is monoclinic. For the uncorrected formation energy, the calculation gives -0.399 eV per atom.

Structure (POSCAR):
```
BaSi2Br
1.0
3.9880 0.0000 0.0000
0.0000 6.6539 0.0000
-0.0518 0.0000 5.1961
Ba Si Br
1 2 1
Direct
0.0000 0.0000 0.0000 Ba
0.2498 0.5000 0.8876 Si
0.7502 0.5000 0.1124 Si
0.5000 0.0000 0.5000 Br
```

# 7
This record from the Alexandria database describes a relaxed La2Mn2Co crystal. The functional is PBE.

Calculated values
For the mass density, the calculation gives 7.12 g/cm³. The crystal system is tetragonal. As for the energy of formation: 30 kJ/mol of atoms.

Structure (POSCAR):
```
La2Mn2Co
1.0
6.6391 0.0000 0.0000
0.0000 6.6391 0.0000
0.0000 0.0000 4.7266
La Mn Co
4 4 2
Direct
0.1747 0.3253 0.0000 La
0.3253 0.8253 0.0000 La
0.6747 0.1747 0.0000 La
0.8253 0.6747 0.0000 La
0.1463 0.6463 0.5000 Mn
0.3537 0.1463 0.5000 Mn
0.6463 0.8537 0.5000 Mn
0.8537 0.3537 0.5000 Mn
0.0000 0.0000 0.5000 Co
0.5000 0.5000 0.5000 Co
```

# 8
This record from the Alexandria database describes a relaxed ScTlAg2 crystal. The functional is PBE.

Calculated values
For the mass density, the calculation gives 8.37 g/cm³. The crystal system is tetragonal. As for the energy of formation: 14 kJ/mol of atoms.

Structure (POSCAR):
```
ScTlAg2
1.0
7.9117 0.0000 0.0000
0.0000 7.9117 0.0000
0.0000 0.0000 5.8952
Sc Tl Ag
4 4 8
Direct
0.0000 0.0000 0.0000 Sc
0.0000 0.5000 0.2500 Sc
0.5000 0.0000 0.7500 Sc
0.5000 0.5000 0.5000 Sc
0.0000 0.0000 0.5000 Tl
0.0000 0.5000 0.7500 Tl
0.5000 0.0000 0.2500 Tl
0.5000 0.5000 0.0000 Tl
0.2472 0.2500 0.1250 Ag
0.2500 0.7472 0.3750 Ag
0.2500 0.7528 0.8750 Ag
0.2528 0.2500 0.6250 Ag
0.7472 0.7500 0.6250 Ag
0.7500 0.2472 0.8750 Ag
0.7500 0.2528 0.3750 Ag
0.7528 0.7500 0.1250 Ag
```

# 9
This record from the Alexandria database describes a relaxed TaPb3 crystal. The functional is PBE.

Calculated values
For the mass density, the calculation gives 12.80 g/cm³. The crystal system is cubic. As for the energy of formation: 70 kJ/mol of atoms.

Structure (POSCAR):
```
TaPb3
1.0
5.9270 0.0000 0.0000
0.0000 5.9270 0.0000
0.0000 0.0000 5.9270
Ta Pb
2 6
Direct
0.0000 0.0000 0.0000 Ta
0.5000 0.5000 0.5000 Ta
0.0000 0.2500 0.5000 Pb
0.0000 0.7500 0.5000 Pb
0.2500 0.5000 0.0000 Pb
0.5000 0.0000 0.2500 Pb
0.5000 0.0000 0.7500 Pb
0.7500 0.5000 0.0000 Pb
```

# 10
This record from the Alexandria database describes a relaxed ScCo2Se crystal. The functional is PBE.

Calculated values
For the mass density, the calculation gives 6.36 g/cm³. The crystal system is trigonal. For the uncorrected formation energy, the calculation gives -0.301 eV per atom.

Structure (POSCAR):
```
ScCo2Se
1.0
3.9634 0.0000 0.0000
-1.9817 3.4324 0.0000
0.0000 0.0000 13.9190
Sc Co Se
3 6 3
Direct
0.0000 0.0000 0.0000 Sc
0.3333 0.6667 0.6667 Sc
0.6667 0.3333 0.3333 Sc
0.0000 0.0000 0.2151 Co
0.0000 0.0000 0.5312 Co
0.3333 0.6667 0.1979 Co
0.3333 0.6667 0.8817 Co
0.6667 0.3333 0.5484 Co
0.6667 0.3333 0.8646 Co
0.0000 0.0000 0.7896 Se
0.3333 0.6667 0.4562 Se
0.6667 0.3333 0.1229 Se
```

# 11
This record from the Alexandria database describes a relaxed LaMnIn2 crystal. The functional is PBE.

Calculated values
For the mass density, the calculation gives 6.88 g/cm³. The crystal system is tetragonal. As for the energy of formation: -8 kJ/mol of atoms.

Structure (POSCAR):
```
LaMnIn2
1.0
4.6606 0.0000 0.0000
0.0000 4.6606 0.0000
0.0000 0.0000 4.7076
La Mn In
1 1 2
Direct
0.0000 0.0000 0.0000 La
0.5000 0.5000 0.0000 Mn
0.0000 0.5000 0.5000 In
0.5000 0.0000 0.5000 In
```

# 12
This record from the Alexandria database describes a relaxed Ac2TiBiO6 crystal. The functional is PBE.

Calculated values
For the mass density, the calculation gives 7.62 g/cm³. The crystal system is tetragonal. For the uncorrected formation energy, the calculation gives -2.596 eV per atom.

Structure (POSCAR):
```
Ac2TiBiO6
1.0
5.6803 0.0000 0.0000
0.0000 5.6803 0.0000
0.0000 0.0000 5.4468
Ac Ti Bi O
2 1 1 6
Direct
0.0000 0.5000 0.0000 Ac
0.5000 0.0000 0.0000 Ac
0.0000 0.0000 0.6077 Ti
0.5000 0.5000 0.5238 Bi
0.0000 0.0000 0.2730 O
0.2275 0.2275 0.7388 O
0.2275 0.7725 0.7388 O
0.5000 0.5000 0.1149 O
0.7725 0.2275 0.7388 O
0.7725 0.7725 0.7388 O
```